No. 1
ScAlCo2C | GGA-PBE | relaxed

Unit cell a=3.578 b=5.593 c=6.772 alpha=90.00 beta=90.00 gamma=108.65
Fractional positions:
Al1 0.265 0.531 0.250
Al2 0.735 0.469 0.750
C1 0.000 0.000 0.000
C2 0.000 0.000 0.500
Co1 0.160 0.319 0.556
Co2 0.160 0.319 0.944
Co3 0.840 0.681 0.056
Co4 0.840 0.681 0.444
Sc1 0.458 0.916 0.750
Sc2 0.542 0.084 0.250

## Properties
For the total energy, the calculation gives -7.0506 eV/atom. Its symmetry is No. 63. For the formation energy, the calculation gives -0.349 eV/atom.

=====

No. 2
BeSbTe2I | GGA-PBE | relaxed

Unit cell a=4.924 b=4.924 c=5.597 alpha=90.00 beta=90.00 gamma=90.00
Fractional positions:
I1 0.500 0.500 0.500
Be1 0.000 0.000 0.000
Sb1 0.000 0.000 0.500
Te1 0.500 0.000 0.000
Te2 0.000 0.500 0.000

## Properties
The calculation puts the uncorrected formation energy at 375 meV/atom. For the total energy, the calculation gives -2.7615 eV/atom. For the relative energy among the computed polymorphs, the calculation gives 0.0490 eV per atom. Its symmetry is No. 123.

=====

No. 3
Mn2GaCoH | GGA-PBE | relaxed

Unit cell a=3.770 b=3.770 c=3.620 alpha=90.00 beta=90.00 gamma=90.00
Fractional positions:
Mn1 0.000 0.500 0.000
Mn2 0.500 0.000 0.000
H1 0.000 0.000 0.000
Co1 0.000 0.000 0.500
Ga1 0.500 0.500 0.500

## Properties
For the total energy, the calculation gives -6.4978 eV/atom. For the relative energy among the computed polymorphs, the calculation gives 0.0000 eV per atom. Its symmetry is No. 123.

=====

No. 4
Sr2SmTl4 | GGA-PBE | relaxed

Unit cell a=5.550 b=5.550 c=8.672 alpha=108.66 beta=108.66 gamma=90.00
Fractional positions:
Sr1 0.256 0.256 0.513
Sr2 0.744 0.744 0.487
Sm1 0.000 0.000 0.000
Tl1 0.394 0.894 0.787
Tl2 0.894 0.394 0.787
Tl3 0.606 0.106 0.213
Tl4 0.106 0.606 0.213

## Properties
For the total energy, the calculation gives -2.7818 eV/atom. Its symmetry is No. 139. For the formation energy, the calculation gives -0.275 eV/atom.

=====

No. 5
Cr2NiBr | GGA-PBE | relaxed

Unit cell a=6.951 b=6.951 c=6.951 alpha=153.92 beta=151.20 gamma=39.24
Fractional positions:
Cr1 0.825 0.325 0.500
Cr2 0.025 0.025 0.000
Ni1 0.458 0.458 0.000
Br1 0.191 0.691 0.500

## Properties
The calculation puts the uncorrected formation energy at 586 meV/atom. For the total energy, the calculation gives -6.0891 eV/atom. For the relative energy among the computed polymorphs, the calculation gives 0.2210 eV per atom. Its symmetry is No. 44.

=====

No. 6
Ac3Ga2Pd4 | GGA-PBE | relaxed

Unit cell a=4.507 b=6.184 c=9.037 alpha=109.84 beta=90.00 gamma=111.37
Fractional positions:
Ac1 0.000 0.000 0.000
Ac2 0.361 0.723 0.308
Ac3 0.639 0.277 0.692
Pd1 0.096 0.193 0.416
Pd2 0.904 0.807 0.584
Pd3 0.712 0.425 0.072
Pd4 0.288 0.575 0.928
Ga1 0.659 0.317 0.329
Ga2 0.341 0.683 0.671

## Properties
For the total energy, the calculation gives -5.1652 eV/atom. For the relative energy among the computed polymorphs, the calculation gives 0.0000 eV per atom. Its symmetry is No. 12. For the formation energy, the calculation gives -0.815 eV/atom.

=====

No. 7
AgPd2Cl | GGA-PBE | relaxed

Unit cell a=4.591 b=4.591 c=4.591 alpha=60.00 beta=60.00 gamma=60.00
Fractional positions:
Cl1 0.000 0.000 0.000
Ag1 0.500 0.500 0.500
Pd1 0.250 0.250 0.250
Pd2 0.750 0.750 0.750

## Properties
The calculation puts the uncorrected formation energy at 301 meV/atom. For the total energy, the calculation gives -3.4698 eV/atom. For the relative energy among the computed polymorphs, the calculation gives 0.0338 eV per atom. Its symmetry is No. 225.

=====

No. 8
Sm5Tl | GGA-PBE | relaxed

Unit cell a=3.677 b=6.683 c=8.484 alpha=105.36 beta=90.00 gamma=105.97
Fractional positions:
Sm1 0.046 0.093 0.608
Sm2 0.664 0.327 0.344
Sm3 0.328 0.655 0.691
Sm4 0.022 0.045 0.000
Sm5 0.380 0.760 0.249
Tl1 0.727 0.454 0.941

## Properties
For the total energy, the calculation gives -4.4310 eV/atom. For the relative energy among the computed polymorphs, the calculation gives 0.0015 eV per atom. Its symmetry is No. 8. For the formation energy, the calculation gives -0.104 eV/atom.

=====

No. 9
Sm3Y3In2 | GGA-PBE | relaxed

Unit cell a=4.940 b=4.890 c=9.741 alpha=90.00 beta=90.00 gamma=90.00
Fractional positions:
In1 0.000 0.000 0.253
In2 0.000 0.000 0.747
Y1 0.500 0.000 0.500
Y2 0.000 0.500 0.000
Y3 0.000 0.500 0.500
Sm1 0.500 0.000 0.000
Sm2 0.500 0.500 0.248
Sm3 0.500 0.500 0.752

## Properties
For the total energy, the calculation gives -5.1532 eV/atom. For the relative energy among the computed polymorphs, the calculation gives 0.0000 eV per atom. Its symmetry is No. 47. For the formation energy, the calculation gives -0.275 eV/atom.

=====

No. 10
SrAg2Ir | GGA-PBE | relaxed

Unit cell a=4.918 b=4.918 c=4.918 alpha=60.00 beta=60.00 gamma=60.00
Fractional positions:
Ag1 0.250 0.250 0.250
Ag2 0.000 0.000 0.000
Ir1 0.500 0.500 0.500
Sr1 0.750 0.750 0.750

## Properties
For the total energy, the calculation gives -3.7907 eV/atom. For the relative energy among the computed polymorphs, the calculation gives 0.2051 eV per atom. Its symmetry is No. 216. For the formation energy, the calculation gives 0.271 eV/atom.

=====

No. 11
Tb3Be2SnPt9 | GGA-PBE | relaxed

Unit cell a=5.782 b=5.782 c=10.188 alpha=90.00 beta=90.00 gamma=120.00
Fractional positions:
Pt1 0.500 0.000 0.000
Pt2 0.838 0.162 0.713
Pt3 0.162 0.838 0.287
Pt4 0.838 0.675 0.713
Pt5 0.325 0.162 0.713
Pt6 0.675 0.838 0.287
Pt7 0.000 0.500 0.000
Pt8 0.500 0.500 0.000
Pt9 0.162 0.325 0.287
Be1 0.667 0.333 0.850
Be2 0.333 0.667 0.150
Tb1 0.667 0.333 0.253
Tb2 0.333 0.667 0.747
Tb3 0.000 0.000 0.000
Sn1 0.000 0.000 0.500

## Properties
For the total energy, the calculation gives -6.1403 eV/atom. Its symmetry is No. 164. For the formation energy, the calculation gives -0.826 eV/atom.

=====

No. 12
HfTi2Co | GGA-PBE | relaxed

Unit cell a=5.361 b=7.751 c=6.463 alpha=90.00 beta=90.00 gamma=90.00
Fractional positions:
Ti1 0.606 0.823 0.958
Ti2 0.394 0.177 0.458
Ti3 0.106 0.677 0.042
Ti4 0.894 0.323 0.542
Ti5 0.606 0.823 0.542
Ti6 0.894 0.323 0.958
Ti7 0.394 0.177 0.042
Ti8 0.106 0.677 0.458
Co1 0.634 0.095 0.750
Co2 0.366 0.905 0.250
Co3 0.866 0.595 0.750
Co4 0.134 0.405 0.250
Hf1 0.412 0.474 0.750
Hf2 0.912 0.026 0.250
Hf3 0.588 0.526 0.250
Hf4 0.088 0.974 0.750

## Properties
For the total energy, the calculation gives -8.3975 eV/atom. For the relative energy among the computed polymorphs, the calculation gives 0.0409 eV per atom. Its symmetry is No. 62. For the formation energy, the calculation gives -0.185 eV/atom.

=====

No. 13
Sr3Mg6Cd5 | GGA-PBE | relaxed

Unit cell a=4.837 b=11.075 c=14.366 alpha=90.00 beta=90.00 gamma=90.00
Fractional positions:
Mg1 0.000 0.580 0.681
Mg2 0.000 0.580 0.319
Mg3 0.000 0.035 0.500
Mg4 0.500 0.012 0.653
Mg5 0.500 0.012 0.347
Mg6 0.000 0.432 0.500
Mg7 0.500 0.965 0.000
Mg8 0.500 0.420 0.819
Mg9 0.000 0.988 0.153
Mg10 0.500 0.420 0.181
Mg11 0.500 0.568 0.000
Mg12 0.000 0.988 0.847
Cd1 0.000 0.852 0.652
Cd2 0.500 0.450 0.613
Cd3 0.000 0.788 0.000
Cd4 0.500 0.212 0.500
Cd5 0.000 0.852 0.348
Cd6 0.500 0.450 0.387
Cd7 0.500 0.148 0.152
Cd8 0.000 0.550 0.113
Cd9 0.000 0.550 0.887
Cd10 0.500 0.148 0.848
Sr1 0.000 0.246 0.305
Sr2 0.500 0.732 0.500
Sr3 0.500 0.754 0.195
Sr4 0.000 0.268 0.000
Sr5 0.000 0.246 0.695
Sr6 0.500 0.754 0.805

## Properties
For the total energy, the calculation gives -1.5774 eV/atom. Its symmetry is No. 59. For the formation energy, the calculation gives -0.207 eV/atom.

=====

No. 14
Rb2CaZrBr6 | GGA-PBE | relaxed

Unit cell a=7.966 b=7.966 c=7.966 alpha=60.00 beta=60.00 gamma=90.00
Fractional positions:
Br1 0.754 0.246 0.000
Br2 0.246 0.246 0.000
Br3 0.246 0.246 0.508
Br4 0.754 0.754 0.492
Br5 0.754 0.754 0.000
Br6 0.246 0.754 0.000
Zr1 0.000 0.000 0.000
Rb1 0.250 0.750 0.500
Rb2 0.750 0.250 0.500
Ca1 0.500 0.500 0.000

## Properties
The calculation puts the uncorrected formation energy at -1541 meV/atom. For the total energy, the calculation gives -3.7936 eV/atom. Its symmetry is No. 225.

=====

No. 15
CsHg2Ge2 | GGA-PBE | relaxed

Unit cell a=5.103 b=5.103 c=6.588 alpha=67.22 beta=67.22 gamma=90.00
Fractional positions:
Hg1 0.750 0.250 0.500
Hg2 0.250 0.750 0.500
Cs1 0.000 0.000 0.000
Ge1 0.384 0.384 0.231
Ge2 0.616 0.616 0.769

## Properties
For the total energy, the calculation gives -2.1461 eV/atom. For the relative energy among the computed polymorphs, the calculation gives 0.0000 eV per atom. Its symmetry is No. 139. For the formation energy, the calculation gives -0.008 eV/atom.

=====

No. 16
Dy4CoOs | GGA-PBE | relaxed

Unit cell a=6.130 b=7.405 c=7.820 alpha=114.26 beta=108.44 gamma=99.19
Fractional positions:
Dy1 0.015 0.241 0.878
Dy2 0.788 0.691 0.642
Dy3 0.637 0.363 0.122
Dy4 0.363 0.637 0.878
Dy5 0.985 0.759 0.122
Dy6 0.646 0.049 0.358
Dy7 0.212 0.309 0.358
Dy8 0.354 0.951 0.642
Co1 0.250 0.000 0.000
Co2 0.750 0.000 0.000
Os1 0.616 0.366 0.731
Os2 0.384 0.634 0.269

## Properties
For the total energy, the calculation gives -6.3391 eV/atom. For the relative energy among the computed polymorphs, the calculation gives 0.0000 eV per atom. Its symmetry is No. 15. For the formation energy, the calculation gives -0.215 eV/atom.

=====

No. 17
Cu3Ni2Pd2 | GGA-PBE | relaxed

Unit cell a=4.114 b=4.114 c=6.356 alpha=105.38 beta=94.81 gamma=117.43
Fractional positions:
Cu1 0.562 0.139 0.700
Cu2 0.000 0.000 0.000
Cu3 0.438 0.861 0.300
Pd1 0.720 0.429 0.149
Pd2 0.280 0.571 0.851
Ni1 0.853 0.722 0.575
Ni2 0.147 0.278 0.425

## Properties
For the total energy, the calculation gives -4.8664 eV/atom. Its symmetry is No. 12. For the formation energy, the calculation gives 0.025 eV/atom.

=====

No. 18
NdGdHg | GGA-PBE | relaxed

Unit cell a=3.795 b=5.215 c=5.215 alpha=120.00 beta=90.00 gamma=90.00
Fractional positions:
Gd1 0.412 0.333 0.667
Hg1 0.624 0.667 0.333
Nd1 0.964 0.000 0.000

## Properties
For the total energy, the calculation gives -6.5726 eV/atom. For the relative energy among the computed polymorphs, the calculation gives 0.1330 eV per atom. Its symmetry is No. 156. For the formation energy, the calculation gives -0.189 eV/atom.

=====

No. 19
TlSiIr3 | GGA-PBE | relaxed

Unit cell a=4.956 b=4.956 c=4.956 alpha=90.00 beta=90.00 gamma=90.00
Fractional positions:
Ir1 0.000 0.000 0.500
Ir2 0.500 0.000 0.000
Ir3 0.000 0.500 0.000
Tl1 0.000 0.000 0.000
Si1 0.500 0.500 0.500

## Properties
The calculation puts the uncorrected formation energy at 2521 meV/atom. For the total energy, the calculation gives -4.3536 eV/atom. For the relative energy among the computed polymorphs, the calculation gives 1.9235 eV per atom. Its symmetry is No. 221.

=====

No. 20
LiSnPd3 | GGA-PBE | relaxed

Unit cell a=4.443 b=4.444 c=8.312 alpha=90.00 beta=74.50 gamma=90.00
Fractional positions:
Pd1 0.880 0.750 0.889
Pd2 0.074 0.750 0.500
Pd3 0.269 0.750 0.111
Pd4 0.380 0.250 0.889
Pd5 0.769 0.250 0.111
Pd6 0.574 0.250 0.500
Li1 0.178 0.250 0.293
Li2 0.471 0.750 0.707
Sn1 0.675 0.750 0.298
Sn2 0.973 0.250 0.702

## Properties
For the total energy, the calculation gives -4.8496 eV/atom. For the relative energy among the computed polymorphs, the calculation gives 0.0000 eV per atom. Its symmetry is No. 63. For the formation energy, the calculation gives -0.551 eV/atom.

=====

No. 21
BeCdIn2Au | GGA-PBE | relaxed

Unit cell a=5.413 b=4.463 c=5.413 alpha=90.00 beta=90.00 gamma=90.00
Fractional positions:
Cd1 0.500 0.500 0.500
Au1 0.000 0.000 0.000
Be1 0.000 0.500 0.000
In1 0.500 0.000 0.000
In2 0.000 0.000 0.500

## Properties
For the total energy, the calculation gives -2.4072 eV/atom. Its symmetry is No. 123. For the formation energy, the calculation gives 0.272 eV/atom.

=====

No. 22
TbPmPr2H | GGA-PBE | relaxed

Unit cell a=5.105 b=5.178 c=5.178 alpha=90.00 beta=90.00 gamma=90.00
Fractional positions:
Tb1 0.500 0.000 0.000
Pm1 0.500 0.500 0.500
Pr1 0.000 0.000 0.500
Pr2 0.000 0.500 0.000
H1 0.000 0.000 0.000

## Properties
For the total energy, the calculation gives -4.6296 eV/atom. Its symmetry is No. 123.